Entry 1:
Crystalline NpTc2 at its relaxed geometry, computed with GGA-PBE.

Unit cell a=2.977 b=2.977 c=11.767 alpha=90.00 beta=90.00 gamma=90.00
Space group I4/mmm (No. 139)
Inequivalent atoms, fractional coordinates:
Np (0.000, 0.000, 0.000)
Tc (0.000, 0.000, 0.314)

Properties
The calculation puts the volume at 17.39 A^3/atom. The final energy comes out at -0.8102 Ry per atom. Its energy of formation from the pure elements is 201.2 meV per atom. The excess energy over the best structure of this formula in the dataset is 9.6 meV/atom.


Entry 2:
Crystalline LaMgRh at its relaxed geometry, computed with GGA-PBE.

Unit cell a=7.618 b=4.206 c=17.025 alpha=90.00 beta=90.00 gamma=90.00
Space group Pnma (No. 62)
Inequivalent atoms, fractional coordinates:
La (0.046, 0.250, 0.218)
La (0.165, 0.250, 0.438)
Mg (0.005, 0.750, 0.063)
Mg (0.132, 0.250, 0.649)
Rh (0.246, 0.250, 0.061)
Rh (0.246, 0.750, 0.313)

Properties
The calculation puts the volume at 22.73 A^3/atom. The final energy comes out at -0.3862 Ry per atom. Its energy of formation from the pure elements is -630.0 meV per atom.


Entry 3:
Crystalline Al2Cu at its relaxed geometry, computed with GGA-PBE.

Unit cell a=2.802 b=2.802 c=23.226 alpha=90.00 beta=90.00 gamma=90.00
Space group I4_1/amd (No. 141, origin choice 2)
Inequivalent atoms, fractional coordinates:
Al (0.000, 0.250, 0.302)
Cu (0.000, 0.250, 0.875)

Properties
The calculation puts the volume at 15.19 A^3/atom. The final energy comes out at -0.2908 Ry per atom. Its energy of formation from the pure elements is -96.7 meV per atom.


Entry 4:
Crystalline Cd6GaHg at its relaxed geometry, computed with GGA-PBE.

Unit cell a=4.473 b=4.473 c=8.923 alpha=90.00 beta=90.00 gamma=90.00
Space group P4/mmm (No. 123)
Inequivalent atoms, fractional coordinates:
Cd (0.000, 0.000, 0.000)
Cd (0.000, 0.000, 0.500)
Cd (0.000, 0.500, 0.244)
Ga (0.500, 0.500, 0.000)
Hg (0.500, 0.500, 0.500)

Properties
The calculation puts the volume at 22.32 A^3/atom. The final energy comes out at -0.0782 Ry per atom. Its energy of formation from the pure elements is 39.0 meV per atom. The excess energy over the best structure of this formula in the dataset is 4.7 meV/atom.


Entry 5:
Crystalline Ba3In2Sn2Pt4 at its relaxed geometry, computed with GGA-PBE.

Unit cell a=4.6352 b=4.6352 c=17.3064 alpha=90.00 beta=90.00 gamma=120.00
Space group P-3m1 (No. 164)
Inequivalent atoms, fractional coordinates:
Ba (0.0000, 0.0000, 0.0000)
Ba (0.0000, 0.0000, 0.2849)
In (0.3333, 0.6667, 0.5612)
Sn (0.3333, 0.6667, 0.1426)
Pt (0.3333, 0.6667, 0.4027)
Pt (0.3333, 0.6667, 0.8580)

Properties
The calculation puts the volume at 29.27 A^3/atom. The final energy comes out at -0.3395 Ry per atom. Its energy of formation from the pure elements is -672.8 meV per atom.


Entry 6:
Crystalline CaSi2Ir at its relaxed geometry, computed with GGA-PBE.

Unit cell a=3.479 b=3.724 c=11.998 alpha=90.00 beta=90.00 gamma=90.00
Space group Imm2 (No. 44)
Inequivalent atoms, fractional coordinates:
Ca (0.000, 0.000, 0.000)
Si (0.000, 0.000, 0.368)
Si (0.000, 0.500, 0.227)
Ir (0.000, 0.500, 0.729)

Properties
The calculation puts the volume at 19.43 A^3/atom. The final energy comes out at -0.4223 Ry per atom. The calculation puts the formation energy (no corrections) at -0.32 eV per atom.


What did the sixth record say?
Crystalline CaSi2Ir at its relaxed geometry, computed with GGA-PBE.

Unit cell a=3.479 b=3.724 c=11.998 alpha=90.00 beta=90.00 gamma=90.00
Space group Imm2 (No. 44)
Inequivalent atoms, fractional coordinates:
Ca (0.000, 0.000, 0.000)
Si (0.000, 0.000, 0.368)
Si (0.000, 0.500, 0.227)
Ir (0.000, 0.500, 0.729)

Properties
The calculation puts the volume at 19.43 A^3/atom. The final energy comes out at -0.4223 Ry per atom. The calculation puts the formation energy (no corrections) at -0.32 eV per atom.